VASP calculation (GGA-PBE) on a relaxed Pr5Dy6 crystal.

Structure (extended XYZ):
```
11
Lattice="-1.536 3.537 8.303 -5.748 -2.567 5.077 3.638 -3.270 4.257" Properties=species:S:1:pos:R:3 pbc="T T T"
Pr 1.051 0.133 6.280
Pr -2.077 0.629 4.395
Pr -5.207 0.341 8.985
Pr -1.556 -2.137 6.764
Pr -2.090 -0.164 10.872
Dy 1.232 0.699 9.904
Dy 0.870 -0.433 2.655
Dy -1.744 -3.542 9.810
Dy -5.111 0.885 12.432
Dy -1.902 1.241 7.827
Dy 1.465 -3.185 5.205
```

crystal system	monoclinic
space group	C2/m

---

VASP calculation (GGA-PBE) on a relaxed Li2AlZn2 crystal.

Structure (extended XYZ):
```
5
Lattice="-3.303 -2.836 -0.563 -0.065 -3.756 2.187 -3.393 -0.233 3.965" Properties=species:S:1:pos:R:3 pbc="T T T"
Li -3.676 -4.741 2.665
Li -3.085 -2.084 2.924
Al -1.684 -3.296 0.812
Zn -1.047 -0.678 1.000
Zn -5.714 -6.147 4.590
```

crystal system	monoclinic
space group	C2/m

---

| no. | polymorph energy (0 for the lowest one) (meV/atom) | ΔH_f (0 K) (eV/atom) |
| --- | --- | --- |
| 1 | 21 | 0.135 |
| 2 | 0 | -0.192 |